Here is crystalline Ba8Sr3Ca2 at its relaxed geometry from the Alexandria database. Energies are from PBE-GGA.

```
data_Ba8Sr3Ca2
_cell_length_a 19.0502
_cell_length_b 11.4923
_cell_length_c 7.9179
_cell_angle_alpha 90.00
_cell_angle_beta 110.76
_cell_angle_gamma 90.00
_space_group_name_H-M_alt 'C 1 2/m 1'
_space_group_IT_number 12
loop_
_space_group_symop_operation_xyz
'x,y,z'
'-x,-y,-z'
'-x,y,-z'
'x,-y,z'
'x+1/2,y+1/2,z'
'-x+1/2,-y+1/2,-z'
'-x+1/2,y+1/2,-z'
'x+1/2,-y+1/2,z'
loop_
_atom_site_label
_atom_site_type_symbol
_atom_site_fract_x
_atom_site_fract_y
_atom_site_fract_z
_atom_site_occupancy
Ba1 Ba 0.1079 0.0000 0.1769 1
Ba2 Ba 0.1260 0.1877 0.6813 1
Ba3 Ba 0.1908 0.5000 0.4125 1
Sr1 Sr 0.0000 0.3281 0.0000 1
Sr2 Sr 0.0000 0.5000 0.5000 1
Ca1 Ca 0.1932 0.5000 0.9308 1
```

## Properties
- Energy relative to the elements: 0.15 eV/atom
- Energy relative to the lowest polymorph listed for this composition: 0.0000 eV per atom
- DFT total energy: -45.05 eV per cell

Here is crystalline BaSr8Ca4 at its relaxed geometry from the Alexandria database. Energies are from PBE-GGA.

```
data_BaSr8Ca4
_cell_length_a 8.0353
_cell_length_b 8.0353
_cell_length_c 38.2908
_cell_angle_alpha 90.00
_cell_angle_beta 90.00
_cell_angle_gamma 120.00
_space_group_name_H-M_alt 'R -3 m'
_space_group_IT_number 166
_space_group_name_Hall '-R 3 2"'
loop_
_atom_site_label
_atom_site_type_symbol
_atom_site_fract_x
_atom_site_fract_y
_atom_site_fract_z
_atom_site_occupancy
Ba1 Ba 0.0000 0.0000 0.0000 1
Sr1 Sr 0.0000 0.0000 0.1890 1
Sr2 Sr 0.9996 0.4998 0.2454 1
Ca1 Ca 0.0000 0.0000 0.5000 1
Ca2 Ca 0.0000 0.5000 0.0000 1
```

## Properties
- Energy relative to the elements: 0.14 eV/atom
- Energy relative to the lowest polymorph listed for this composition: 0.1292 eV per atom
- DFT total energy: -64.54 eV per cell

Here is crystalline BaSrCa2 at its relaxed geometry from the Alexandria database. Energies are from PBE-GGA.

```
data_BaSrCa2
_cell_length_a 4.1391
_cell_length_b 4.1391
_cell_length_c 40.2946
_cell_angle_alpha 90.00
_cell_angle_beta 90.00
_cell_angle_gamma 120.00
_space_group_name_H-M_alt 'R 3 m'
_space_group_IT_number 160
_space_group_name_Hall 'R 3 -2"'
loop_
_atom_site_label
_atom_site_type_symbol
_atom_site_fract_x
_atom_site_fract_y
_atom_site_fract_z
_atom_site_occupancy
Ba1 Ba 0.0000 0.0000 0.0000 1
Sr1 Sr 0.0000 0.0000 0.2426 1
Ca1 Ca 0.0000 0.0000 0.4941 1
Ca2 Ca 0.0000 0.0000 0.7516 1
```

## Properties
- Energy relative to the elements: 0.04 eV/atom
- Energy relative to the lowest polymorph listed for this composition: 0.0350 eV per atom
- DFT total energy: -22.31 eV per cell

Here is crystalline Ba8Sr2Ca at its relaxed geometry from the Alexandria database. Energies are from PBE-GGA.

```
data_Ba8Sr2Ca
_cell_length_a 11.0455
_cell_length_b 19.8298
_cell_length_c 7.3681
_cell_angle_alpha 90.00
_cell_angle_beta 123.09
_cell_angle_gamma 90.00
_space_group_name_H-M_alt 'C 1 2/m 1'
_space_group_IT_number 12
loop_
_space_group_symop_operation_xyz
'x,y,z'
'-x,-y,-z'
'-x,y,-z'
'x,-y,z'
'x+1/2,y+1/2,z'
'-x+1/2,-y+1/2,-z'
'-x+1/2,y+1/2,-z'
'x+1/2,-y+1/2,z'
loop_
_atom_site_label
_atom_site_type_symbol
_atom_site_fract_x
_atom_site_fract_y
_atom_site_fract_z
_atom_site_occupancy
Ba1 Ba 0.0000 0.2036 0.0000 1
Ba2 Ba 0.1049 0.5000 0.8086 1
Ba3 Ba 0.2213 0.1118 0.6456 1
Sr1 Sr 0.0000 0.3054 0.5000 1
Ca1 Ca 0.0000 0.0000 0.0000 1
```

## Properties
- Energy relative to the elements: 0.13 eV/atom
- Energy relative to the lowest polymorph listed for this composition: 0.1186 eV per atom
- DFT total energy: -38.62 eV per cell

Here is crystalline BaSr4Ca4 at its relaxed geometry from the Alexandria database. Energies are from PBE-GGA.

```
data_BaSr4Ca4
_cell_length_a 12.4257
_cell_length_b 12.4257
_cell_length_c 5.7915
_cell_angle_alpha 90.00
_cell_angle_beta 90.00
_cell_angle_gamma 90.00
_space_group_name_H-M_alt 'I 4/m m m'
_space_group_IT_number 139
_space_group_name_Hall '-I 4 2'
loop_
_atom_site_label
_atom_site_type_symbol
_atom_site_fract_x
_atom_site_fract_y
_atom_site_fract_z
_atom_site_occupancy
Ba1 Ba 0.0000 0.0000 0.0000 1
Sr1 Sr 0.0000 0.3297 0.0000 1
Ca1 Ca 0.1694 0.1694 0.5000 1
```

## Properties
- Energy relative to the elements: 0.02 eV/atom
- Energy relative to the lowest polymorph listed for this composition: 0.0000 eV per atom
- DFT total energy: -32.98 eV per cell

Here is crystalline Ba3Sr6Ca at its relaxed geometry from the Alexandria database. Energies are from PBE-GGA.

```
data_Ba3Sr6Ca
_cell_length_a 12.4046
_cell_length_b 14.2688
_cell_length_c 6.6762
_cell_angle_alpha 90.00
_cell_angle_beta 90.00
_cell_angle_gamma 90.00
_space_group_name_H-M_alt 'P n n m'
_space_group_IT_number 58
loop_
_space_group_symop_operation_xyz
'x,y,z'
'-x,-y,-z'
'-x,-y,z'
'x,y,-z'
'x+1/2,-y+1/2,-z+1/2'
'-x+1/2,y+1/2,z+1/2'
'-x+1/2,y+1/2,-z+1/2'
'x+1/2,-y+1/2,z+1/2'
loop_
_atom_site_label
_atom_site_type_symbol
_atom_site_fract_x
_atom_site_fract_y
_atom_site_fract_z
_atom_site_occupancy
Ba1 Ba 0.0000 0.0000 0.0000 1
Ba2 Ba 0.2439 0.0512 0.5000 1
Sr1 Sr 0.0601 0.3049 0.0000 1
Sr2 Sr 0.0907 0.7774 0.5000 1
Sr3 Sr 0.2390 0.3351 0.5000 1
Ca1 Ca 0.0000 0.5000 0.5000 1
```

## Properties
- Energy relative to the elements: 0.10 eV/atom
- Energy relative to the lowest polymorph listed for this composition: 0.0852 eV per atom
- DFT total energy: -33.74 eV per cell

Here is crystalline BaSrCa6 at its relaxed geometry from the Alexandria database. Energies are from PBE-GGA.

```
data_BaSrCa6
_cell_length_a 6.6041
_cell_length_b 8.0331
_cell_length_c 13.8913
_cell_angle_alpha 90.00
_cell_angle_beta 90.00
_cell_angle_gamma 90.00
_space_group_name_H-M_alt 'A m m 2'
_space_group_IT_number 38
loop_
_space_group_symop_operation_xyz
'x,y,z'
'-x,-y,z'
'-x,y,z'
'x,-y,z'
'x,y+1/2,z+1/2'
'-x,-y+1/2,z+1/2'
'-x,y+1/2,z+1/2'
'x,-y+1/2,z+1/2'
loop_
_atom_site_label
_atom_site_type_symbol
_atom_site_fract_x
_atom_site_fract_y
_atom_site_fract_z
_atom_site_occupancy
Ba1 Ba 0.0000 0.0000 0.0000 1
Sr1 Sr 0.5000 0.0000 0.6680 1
Ca1 Ca 0.0000 0.0000 0.4985 1
Ca2 Ca 0.0000 0.2460 0.2515 1
Ca3 Ca 0.5000 0.0000 0.1704 1
Ca4 Ca 0.5000 0.2447 0.4161 1
```

## Properties
- Energy relative to the elements: 0.02 eV/atom
- DFT total energy: -30.89 eV per cell

Here is crystalline BaSr6Ca12 at its relaxed geometry from the Alexandria database. Energies are from PBE-GGA.

```
data_BaSr6Ca12
_cell_length_a 15.2447
_cell_length_b 15.2447
_cell_length_c 13.9537
_cell_angle_alpha 90.00
_cell_angle_beta 90.00
_cell_angle_gamma 120.00
_space_group_name_H-M_alt 'R -3 m'
_space_group_IT_number 166
_space_group_name_Hall '-R 3 2"'
loop_
_atom_site_label
_atom_site_type_symbol
_atom_site_fract_x
_atom_site_fract_y
_atom_site_fract_z
_atom_site_occupancy
Ba1 Ba 0.0000 0.0000 0.0000 1
Sr1 Sr 0.0390 0.5195 0.6261 1
Ca1 Ca 0.0000 0.2536 0.5000 1
Ca2 Ca 0.0887 0.1773 0.2512 1
```

## Properties
- Energy relative to the elements: 0.12 eV/atom
- Energy relative to the lowest polymorph listed for this composition: 0.0212 eV per atom
- DFT total energy: -101.05 eV per cell